A geometry-optimized Sr2MgRu structure, computed with PBE.

It has space group P4/mmm (No. 123), with a = 5.238 Å, b = 5.238 Å, c = 4.096 Å, α = 90.00°, β = 90.00° and γ = 90.00°. Symmetry generates all atoms from Sr at (0.000, 0.500, 0.000), Mg at (0.000, 0.000, 0.500) and Ru at (0.500, 0.500, 0.500).

A geometry-optimized SrMgRu structure, computed with PBE.

For the relative energy among the computed polymorphs, the calculation gives 313 meV per atom.

It has space group F-43m (No. 216), with a = 6.754 Å, b = 6.754 Å, c = 6.754 Å, α = 90.00°, β = 90.00° and γ = 90.00°. Symmetry generates all atoms from Sr at (0.000, 0.000, 0.000), Mg at (0.000, 0.000, 0.500) and Ru at (0.250, 0.250, 0.750).

A geometry-optimized SrMgRu structure, computed with PBE.

For the relative energy among the computed polymorphs, the calculation gives 195 meV per atom.

It has space group P-6m2 (No. 187), with a = 4.6251 Å, b = 4.6251 Å, c = 3.9871 Å, α = 90.00°, β = 90.00° and γ = 120.00°. Symmetry generates all atoms from Sr at (0.0000, 0.0000, 0.0000), Mg at (0.6667, 0.3333, 0.5000) and Ru at (0.3333, 0.6667, 0.5000).

A geometry-optimized SrMgRu structure, computed with PBE.

For the relative energy among the computed polymorphs, the calculation gives 1073 meV per atom.

It has space group F-43m (No. 216), with a = 7.004 Å, b = 7.004 Å, c = 7.004 Å, α = 90.00°, β = 90.00° and γ = 90.00°. Symmetry generates all atoms from Sr at (0.000, 0.000, 0.000), Mg at (0.250, 0.250, 0.250) and Ru at (0.250, 0.250, 0.750).

A geometry-optimized SrMgRu structure, computed with PBE.

For the relative energy among the computed polymorphs, the calculation gives 58 meV per atom.

It has space group I4mm (No. 107), with a = 3.572 Å, b = 3.572 Å, c = 10.977 Å, α = 90.00°, β = 90.00° and γ = 90.00°. Symmetry generates all atoms from Sr at (0.000, 0.000, 0.000), Mg at (0.000, 0.000, 0.275) and Ru at (0.000, 0.000, 0.690).

A geometry-optimized SrMg2TcRu structure, computed with PBE.

It has space group P4/mmm (No. 123), with a = 5.417 Å, b = 5.417 Å, c = 4.678 Å, α = 90.00°, β = 90.00° and γ = 90.00°. Symmetry generates all atoms from Sr at (0.000, 0.000, 0.000), Mg at (0.000, 0.500, 0.000), Tc at (0.500, 0.500, 0.500) and Ru at (0.000, 0.000, 0.500).

A geometry-optimized SrMgTc2Ru structure, computed with PBE.

It has space group P4/mmm (No. 123), with a = 4.773 Å, b = 4.773 Å, c = 4.999 Å, α = 90.00°, β = 90.00° and γ = 90.00°. Symmetry generates all atoms from Sr at (0.000, 0.000, 0.000), Mg at (0.500, 0.500, 0.000), Tc at (0.000, 0.500, 0.500) and Ru at (0.500, 0.500, 0.500).

A geometry-optimized SrMg2TlRu structure, computed with PBE.

It has space group P4/mmm (No. 123), with a = 5.062 Å, b = 5.062 Å, c = 5.292 Å, α = 90.00°, β = 90.00° and γ = 90.00°. Symmetry generates all atoms from Sr at (0.000, 0.000, 0.000), Mg at (0.000, 0.500, 0.500), Tl at (0.500, 0.500, 0.000) and Ru at (0.500, 0.500, 0.500).

A geometry-optimized SrY2MgRu structure, computed with PBE.

It has space group P4/mmm (No. 123), with a = 5.338 Å, b = 5.338 Å, c = 5.444 Å, α = 90.00°, β = 90.00° and γ = 90.00°. Symmetry generates all atoms from Sr at (0.000, 0.000, 0.000), Y at (0.000, 0.500, 0.500), Mg at (0.500, 0.500, 0.000) and Ru at (0.500, 0.500, 0.500).

A geometry-optimized SrMgZn2Ru structure, computed with PBE.

It has space group P4/mmm (No. 123), with a = 4.912 Å, b = 4.912 Å, c = 4.923 Å, α = 90.00°, β = 90.00° and γ = 90.00°. Symmetry generates all atoms from Sr at (0.000, 0.000, 0.000), Mg at (0.500, 0.500, 0.000), Zn at (0.000, 0.500, 0.500) and Ru at (0.500, 0.500, 0.500).

| no. | energy of formation from the pure elements (kJ per mole of atoms) | E_tot (eV/f.u.) |
| --- | --- | --- |
| 1 | 41.3 | -12.52 |
| 2 | 49.1 | -11.02 |
| 3 | 37.7 | -11.38 |
| 4 | 122.5 | -8.74 |
| 5 | 24.6 | -11.79 |
| 6 | 205.6 | -13.86 |
| 7 | 77.3 | -29.28 |
| 8 | -3.3 | -16.69 |
| 9 | -9.0 | -25.95 |
| 10 | -5.7 | -15.40 |